1.
Material: TaCoRh2
Method: DFT, PBE
State: optimized geometry

```
4
Lattice="-3.437 2.700 1.601 -3.047 -2.770 2.171 4.616 0.379 0.481" Properties=species:S:1:pos:R:3 pbc="T T T"
Co -0.837 -1.213 2.269
Rh -6.484 -0.069 3.773
Rh -3.242 -0.035 1.887
Ta -1.032 1.522 1.984
```

As for the formation energy: -0.39 eV per atom.

2.
Material: CuHg2Cl6
Method: DFT, PBE
State: optimized geometry

```
9
Lattice="4.118 0.000 0.000 -2.059 7.729 -2.267 0.000 -0.080 8.396" Properties=species:S:1:pos:R:3 pbc="T T T"
Cu 4.118 -0.040 4.198
Hg 2.059 2.316 6.366
Hg 0.000 5.334 -0.237
Cl 0.000 4.535 5.868
Cl 2.059 3.115 0.261
Cl 2.059 7.412 -0.272
Cl 2.059 1.697 3.991
Cl 0.000 0.238 6.402
Cl 0.000 5.952 2.138
```

3.
Material: Pr3ZrZn4
Method: DFT, PBE
State: optimized geometry

```
8
Lattice="-2.439 2.240 1.411 -2.483 -1.268 -2.277 -3.730 -10.202 9.748" Properties=species:S:1:pos:R:3 pbc="T T T"
Pr -3.339 -1.917 1.863
Pr -4.326 -4.615 4.441
Pr -5.312 -7.313 7.019
Zn -3.360 -9.192 8.783
Zn -0.369 -1.010 0.965
Zn -1.379 -3.771 3.603
Zn -2.351 -6.431 6.145
Zr -2.461 0.486 -0.433
```

As for the formation energy: -0.26 eV per atom.

4.
Material: TbNd2Ni
Method: DFT, PBE
State: optimized geometry

```
4
Lattice="3.671 0.000 0.000 1.836 3.179 0.000 1.836 1.060 10.528" Properties=species:S:1:pos:R:3 pbc="T T T"
Nd 1.836 1.060 7.044
Nd 5.507 3.179 3.484
Tb 0.000 0.000 0.000
Ni 3.671 2.120 5.264
```

As for the formation energy: 0.14 eV per atom.

5.
Material: AcCd2CuPd2
Method: DFT, PBE
State: optimized geometry

```
6
Lattice="-5.239 -0.931 -0.231 0.410 -1.013 -5.213 3.290 -4.217 3.799" Properties=species:S:1:pos:R:3 pbc="T T T"
Ac -2.415 -0.972 -2.722
Cd 0.642 -3.101 -2.068
Cd -2.182 -3.060 0.423
Cu 0.000 0.000 0.000
Pd -1.941 -3.783 -2.138
Pd 0.401 -2.379 0.494
```

As for the formation energy: -0.13 eV per atom.

6.
Material: NiTe3Pt
Method: DFT, PBE
State: optimized geometry

```
5
Lattice="4.926 0.000 0.000 0.000 4.926 0.000 0.000 0.000 4.926" Properties=species:S:1:pos:R:3 pbc="T T T"
Ni 0.000 0.000 0.000
Te 0.000 2.463 0.000
Te 0.000 0.000 2.463
Te 2.463 0.000 0.000
Pt 2.463 2.463 2.463
```

Computed spin magnetization, in the same sequence as the records: 1.675, 1.062, 0.001, 0.000, 0.000, 0.000 μB/cell.
Computed final energy, in the same sequence as the records: -35.2, -20.4, -30.0, -19.4, -21.2, -18.0 eV/cell.